Record 1
4
Lattice="6.001 -0.001 0.003 4.659 3.781 0.003 -0.092 -0.033 4.338" Properties=species:S:1:pos:R:3 comment="LaSbP2 (PBE, relaxed)" crystal_system=monoclinic m_tot_mub_per_cell=0.00 rho_g_cm3=5.44 volume_a3_per_atom=24.61 final_energy_ev_per_fu=-22.808 pbc="T T T"
Sb 5.367 1.903 2.908
P 10.556 3.744 0.356
P 7.707 2.733 2.712
La 2.883 1.022 0.545

Record 2
10
Lattice="4.224 0.000 0.965 1.783 7.057 1.922 -0.002 -0.011 9.738" Properties=species:S:1:pos:R:3 comment="La5SbP4 (PBE, relaxed)" crystal_system=monoclinic m_tot_mub_per_cell=0.00 rho_g_cm3=5.38 volume_a3_per_atom=29.03 final_energy_ev_per_fu=-65.305 pbc="T T T"
La 2.472 6.356 8.634
La 3.533 0.690 3.991
La 2.234 2.280 9.678
La 0.890 3.523 5.830
La 3.771 4.766 2.948
Sb 0.000 0.000 0.000
P 2.889 1.432 6.810
P 1.550 2.767 2.943
P 4.455 4.279 9.682
P 3.116 5.613 5.815

Record 3
4
Lattice="2.115 6.065 0.005 -2.115 6.065 0.005 0.000 0.510 4.383" Properties=species:S:1:pos:R:3 comment="LaSb2P (PBE, relaxed)" crystal_system=monoclinic m_tot_mub_per_cell=0.00 rho_g_cm3=6.11 volume_a3_per_atom=28.11 final_energy_ev_per_fu=-21.148 pbc="T T T"
La 0.000 6.320 2.196
Sb 0.000 3.086 3.206
Sb 0.000 9.553 1.187
P 0.000 0.000 0.000

Please write out number 2 again, unchanged.
10
Lattice="4.224 0.000 0.965 1.783 7.057 1.922 -0.002 -0.011 9.738" Properties=species:S:1:pos:R:3 comment="La5SbP4 (PBE, relaxed)" crystal_system=monoclinic m_tot_mub_per_cell=0.00 rho_g_cm3=5.38 volume_a3_per_atom=29.03 final_energy_ev_per_fu=-65.305 pbc="T T T"
La 2.472 6.356 8.634
La 3.533 0.690 3.991
La 2.234 2.280 9.678
La 0.890 3.523 5.830
La 3.771 4.766 2.948
Sb 0.000 0.000 0.000
P 2.889 1.432 6.810
P 1.550 2.767 2.943
P 4.455 4.279 9.682
P 3.116 5.613 5.815